A plane-wave DFT calculation with meta-GGA SCAN was carried out for a PBEsol-optimized structure of CaMg2Rh.

Results
energy relative to the elements = -447 meV/atom
volume = 86.89 Å³/f.u.
total magnetization = 0.00 Bohr magnetons per cell
calculated total energy = -13.792 eV/atom
Fermi-level density of states = 0.4306 states/eV/atom

```
8
Lattice="4.226 0.000 0.000 -2.113 5.168 0.000 0.000 0.000 7.957" Properties=species:S:1:pos:R:3 pbc="T T T"
Mg 2.113 3.531 4.456
Mg 2.113 3.531 7.479
Mg 0.000 1.637 3.501
Mg 0.000 1.637 0.478
Ca 0.000 4.570 1.989
Ca 2.113 0.598 5.968
Rh 2.113 2.397 1.989
Rh 0.000 2.771 5.968
```

***

A plane-wave DFT calculation with meta-GGA SCAN was carried out for a PBEsol-optimized structure of CaMgRh.

Results
energy relative to the elements = 118 meV/atom
volume = 66.69 Å³/f.u.
total magnetization = 0.00 Bohr magnetons per cell
calculated total energy = -16.018 eV/atom
Fermi-level density of states = 0.6888 states/eV/atom

```
3
Lattice="-3.069 -3.283 -0.723 -0.465 -3.384 3.009 -3.731 -0.240 2.596" Properties=species:S:1:pos:R:3 pbc="T T T"
Rh 0.000 0.000 0.000
Ca -3.632 -3.454 2.441
Mg -1.816 -1.727 1.221
```

***

A plane-wave DFT calculation with meta-GGA SCAN was carried out for a PBEsol-optimized structure of CaMg2Rh.

Results
energy relative to the elements = -343 meV/atom
volume = 84.46 Å³/f.u.
total magnetization = 0.01 Bohr magnetons per cell
calculated total energy = -13.688 eV/atom
Fermi-level density of states = 0.2677 states/eV/atom

```
4
Lattice="3.243 0.000 0.000 0.000 4.957 0.000 -1.622 -2.479 5.254" Properties=species:S:1:pos:R:3 pbc="T T T"
Mg 1.622 2.479 2.104
Mg 0.000 0.000 3.149
Rh 0.000 2.479 0.000
Ca 1.622 0.000 0.000
```

***

A plane-wave DFT calculation with meta-GGA SCAN was carried out for a PBEsol-optimized structure of CaMgRh.

Results
energy relative to the elements = -391 meV/atom
volume = 62.58 Å³/f.u.
total magnetization = 0.03 Bohr magnetons per cell
calculated total energy = -16.527 eV/atom
Fermi-level density of states = 0.4015 states/eV/atom

```
3
Lattice="-1.132 0.832 -2.993 -1.548 -2.913 -0.225 -3.322 3.333 4.010" Properties=species:S:1:pos:R:3 pbc="T T T"
Ca -5.759 1.132 0.666
Mg -3.269 -0.092 -0.616
Rh -2.976 1.463 1.532
```

***

A plane-wave DFT calculation with meta-GGA SCAN was carried out for a PBEsol-optimized structure of CaMgRh.

Results
energy relative to the elements = 500 meV/atom
volume = 70.76 Å³/f.u.
total magnetization = 0.00 Bohr magnetons per cell
calculated total energy = -15.636 eV/atom
Fermi-level density of states = 0.6643 states/eV/atom

```
3
Lattice="-0.918 0.572 4.515 -0.522 -3.704 2.750 3.235 -1.009 3.173" Properties=species:S:1:pos:R:3 pbc="T T T"
Ca 0.449 -1.035 2.610
Mg 0.000 0.000 0.000
Rh 0.898 -2.070 5.219
```

***

A plane-wave DFT calculation with meta-GGA SCAN was carried out for a PBEsol-optimized structure of Ca4MgRh.

Results
energy relative to the elements = 640 meV/atom
volume = 170.01 Å³/f.u.
total magnetization = 0.70 Bohr magnetons per cell
calculated total energy = -12.260 eV/atom
Fermi-level density of states = 1.0847 states/eV/atom

```
6
Lattice="6.218 0.000 0.000 3.109 5.385 0.000 3.109 1.795 5.077" Properties=species:S:1:pos:R:3 pbc="T T T"
Ca 7.787 2.684 1.898
Ca 6.218 3.590 4.460
Ca 6.218 5.402 1.898
Ca 4.649 2.684 1.898
Rh 0.000 0.000 0.000
Mg 9.327 5.385 3.808
```